1.
DFT (PBE) results for a relaxed Ho4Ga5Ge6 crystal.

## Properties
- DOS(E_F) (states/eV per cell) = 9.58
- crystal system = orthorhombic
- space group = Cmc2_1, No. 36
- total moment (μB per atom) = 0.00
- final energy (eV/atom) = -4.523
- ΔH_f (0 K) (eV/atom) = -0.4462

a = 9.7305 Å, b = 9.7305 Å, c = 16.5407 Å
α = 90.00°, β = 90.00°, γ = 155.80°
Last column: nearest neighbours and their distance in Å.
Fractional coordinates of all 30 atoms:
Ho 0.0202 0.9798 0.5000  8 Ge 3.03-3.35, 1 Ga 3.12
Ho 0.0530 0.9470 0.7852  1 Ga 2.88, 5 Ge 3.02-3.18
Ho 0.1629 0.8371 0.3039  5 Ga 2.99-3.21, 5 Ge 3.13-3.18
Ho 0.1900 0.8100 0.9700  5 Ge 2.99-3.04, 5 Ga 3.01-3.32
Ho 0.8100 0.1900 0.4700  5 Ge 2.99-3.04, 5 Ga 3.01-3.32
Ho 0.8371 0.1629 0.8039  5 Ga 2.99-3.21, 5 Ge 3.13-3.18
Ho 0.9470 0.0530 0.2852  1 Ga 2.88, 5 Ge 3.02-3.18
Ho 0.9798 0.0202 0.0000  8 Ge 3.03-3.35, 1 Ga 3.12
Ga 0.1323 0.8677 0.6373  4 Ge 2.48-2.59
Ga 0.2993 0.7007 0.6276  4 Ge 2.65-2.81, 1 Ga 2.95
Ga 0.3210 0.6790 0.3331  3 Ge 2.46-2.50
Ga 0.3454 0.6546 0.9357  3 Ge 2.44-2.48
Ga 0.4375 0.5625 0.7090  4 Ge 2.50-2.62
Ga 0.5625 0.4375 0.2090  4 Ge 2.50-2.62
Ga 0.6546 0.3454 0.4357  3 Ge 2.44-2.48
Ga 0.6790 0.3210 0.8331  3 Ge 2.46-2.50
Ga 0.7007 0.2993 0.1276  4 Ge 2.65-2.81, 1 Ga 2.95
Ga 0.8677 0.1323 0.1373  4 Ge 2.48-2.59
Ge 0.1094 0.8906 0.1252  4 Ga 2.62-2.68
Ge 0.1960 0.8040 0.5065  3 Ga 2.48
Ge 0.2185 0.7815 0.7581  4 Ga 2.50-2.65
Ge 0.4207 0.5793 0.4283  1 Ga 2.46, 1 Ge 2.62
Ge 0.4493 0.5507 0.1327  3 Ga 2.50-2.56
Ge 0.4553 0.5447 0.8601  2 Ga 2.44-2.52, 1 Ge 2.62
Ge 0.5447 0.4553 0.3601  2 Ga 2.44-2.52, 1 Ge 2.62
Ge 0.5507 0.4493 0.6327  3 Ga 2.50-2.56
Ge 0.5793 0.4207 0.9283  1 Ga 2.46, 1 Ge 2.62
Ge 0.7815 0.2185 0.2581  4 Ga 2.50-2.65
Ge 0.8040 0.1960 0.0065  3 Ga 2.48
Ge 0.8906 0.1094 0.6252  4 Ga 2.62-2.68

***

2.
DFT (PBE) results for a relaxed In4AgRu crystal.

## Properties
- DOS(E_F) (states/eV per cell) = 3.87
- crystal system = cubic
- space group = F-43m, No. 216
- total moment (μB per atom) = 0.08
- final energy (eV/atom) = -3.203
- ΔH_f (0 K) (eV/atom) = 0.6434

a = 5.7319 Å, b = 5.7319 Å, c = 5.7319 Å
α = 60.00°, β = 60.00°, γ = 60.00°
Last column: nearest neighbours and their distance in Å.
Fractional coordinates of all 6 atoms:
In 0.1247 0.1247 0.1247  6 In 2.86-2.87
In 0.1247 0.1247 0.6260  6 In 2.86-2.87
In 0.1247 0.6260 0.1247  6 In 2.86-2.87
In 0.6260 0.1247 0.1247  6 In 2.86-2.87
Ag 0.5000 0.5000 0.5000  12 In 3.36, 4 Ru 3.51
Ru 0.7500 0.7500 0.7500  12 In 3.36, 4 Ag 3.51

***

3.
DFT (PBE) results for a relaxed RuPb2I crystal.

## Properties
- DOS(E_F) (states/eV per cell) = 4.66
- crystal system = tetragonal
- space group = I-42d, No. 122
- total moment (μB per atom) = 0.00
- energy above the lowest structure with this stoichiometry (eV per formula unit) = 0.00
- formation energy (no corrections) (eV per atom) = 0.4645
- final energy (eV/atom) = -4.096

a = 8.3071 Å, b = 8.3071 Å, c = 8.3071 Å
α = 131.73°, β = 131.73°, γ = 70.66°
Last column: nearest neighbours and their distance in Å.
Fractional coordinates of all 8 atoms:
Ru 0.0000 0.0000 0.0000  4 Pb 2.60
Ru 0.7500 0.2500 0.5000  4 Pb 2.60
Pb 0.0217 0.6250 0.8967  2 Ru 2.60
Pb 0.3750 0.2717 0.3967  2 Ru 2.60
Pb 0.7283 0.1250 0.1033  2 Ru 2.60
Pb 0.8750 0.9783 0.6033  2 Ru 2.60
I 0.2500 0.7500 0.5000  4 Pb 3.39
I 0.5000 0.5000 0.0000  4 Pb 3.39

***

4.
DFT (PBE) results for a relaxed Sc3TiPb crystal.

## Properties
- DOS(E_F) (states/eV per cell) = 19.40
- crystal system = cubic
- space group = Pm-3m, No. 221
- total moment (μB per atom) = 0.00
- energy above the lowest structure with this stoichiometry (eV per formula unit) = 2.16
- final energy (eV/atom) = -5.233
- ΔH_f (0 K) (eV/atom) = 0.8861

a = 5.3635 Å, b = 5.3635 Å, c = 5.3635 Å
α = 90.00°, β = 90.00°, γ = 90.00°
Last column: nearest neighbours and their distance in Å.
Fractional coordinates of all 5 atoms:
Sc 0.0000 0.0000 0.5000  2 Pb 2.68
Sc 0.0000 0.5000 0.0000  2 Pb 2.68
Sc 0.5000 0.0000 0.0000  2 Pb 2.68
Ti 0.5000 0.5000 0.5000  12 Sc 3.79
Pb 0.0000 0.0000 0.0000  6 Sc 2.68